Entry 1:
The following is a PBE-GGA calculation of a relaxed BaAlCl2 crystal, from Alexandria via LeMat-Bulk.

abc: 7.3106 7.3106 7.3106
angles: 146.93 143.41 50.14
With the nearest neighbours (Å) after each atom.
Element x y z (fractional)
Al (0.4890, 0.4890, 0.0000)  4 Cl 3.15
Cl (0.0325, 0.0325, 0.0000)  4 Al 3.15, 2 Ba 3.19
Cl (0.7633, 0.2633, 0.5000)  4 Ba 3.16
Ba (0.2152, 0.7152, 0.5000)  6 Cl 3.16-3.19

Summary:
Excess energy over the best structure of this formula in the dataset   48 meV per atom
Density   3.1 g/cm³
E_form (uncorrected)   -1172 meV/atom


Entry 2:
The following is a PBE-GGA calculation of a relaxed La2TmZnTe5 crystal, from Alexandria via LeMat-Bulk.

abc: 4.3536 9.9042 13.2595
angles: 90.00 90.00 102.70
With the nearest neighbours (Å) after each atom.
Element x y z (fractional)
Te (0.3100, 0.6201, 0.3506)  1 Zn 2.79, 2 Tm 3.07
Te (0.3560, 0.7120, 0.0006)  1 Tm 3.05, 4 La 3.31-3.35
Te (0.6440, 0.2880, 0.5006)  1 Tm 3.05, 4 La 3.31-3.35
Te (0.2878, 0.5756, 0.6711)  2 Tm 3.03, 3 La 3.28-3.34
Te (0.9545, 0.9091, 0.5635)  2 Zn 2.65
Te (0.0455, 0.0909, 0.0635)  2 Zn 2.65
Te (0.7122, 0.4244, 0.1711)  2 Tm 3.03, 3 La 3.28-3.34
Te (0.4992, 0.9984, 0.7790)  1 Zn 2.62
Te (0.5008, 0.0016, 0.2790)  1 Zn 2.62
Te (0.6900, 0.3799, 0.8506)  1 Zn 2.79, 2 Tm 3.07
La (0.8718, 0.7437, 0.8096)  8 Te 3.28-3.63
La (0.1152, 0.2305, 0.6838)  8 Te 3.31-3.49
La (0.8848, 0.7695, 0.1838)  8 Te 3.31-3.49
La (0.1282, 0.2563, 0.3096)  8 Te 3.28-3.63
Zn (0.4363, 0.8726, 0.4526)  4 Te 2.62-2.79
Zn (0.5637, 0.1274, 0.9526)  4 Te 2.62-2.79
Tm (0.1986, 0.3972, 0.0131)  6 Te 3.03-3.07
Tm (0.8014, 0.6028, 0.5131)  6 Te 3.03-3.07

Summary:
Density   6.8 g/cm³
E_form (uncorrected)   -1273 meV/atom


Entry 3:
The following is a PBE-GGA calculation of a relaxed Li2BiHRh crystal, from Alexandria via LeMat-Bulk.

abc: 4.2650 4.2650 3.7020
angles: 90.00 90.00 90.00
With the nearest neighbours (Å) after each atom.
Element x y z (fractional)
H (0.0000, 0.0000, 0.0000)  2 Rh 1.85
Rh (0.0000, 0.0000, 0.5000)  2 H 1.85
Li (0.5000, 0.0000, 0.0000)  2 H 2.13
Li (0.0000, 0.5000, 0.0000)  2 H 2.13
Bi (0.5000, 0.5000, 0.5000)  8 Li 2.82, 4 Rh 3.02

Summary:
Total energy   -4.036 eV per atom
Density   8.1 g/cm³


Entry 4:
The following is a PBE-GGA calculation of a relaxed Ho2AsRh crystal, from Alexandria via LeMat-Bulk.

abc: 4.0203 4.0203 7.1096
angles: 73.58 73.58 60.00
With the nearest neighbours (Å) after each atom.
Element x y z (fractional)
Ho (0.7520, 0.7520, 0.7440)  3 Rh 2.84, 3 As 2.89
Ho (0.2480, 0.2480, 0.2560)  3 Rh 2.84, 3 As 2.89
As (0.0000, 0.0000, 0.0000)  6 Ho 2.89
Rh (0.5000, 0.5000, 0.5000)  6 Ho 2.84

Summary:
Density   9.0 g/cm³
Energy relative to the elements   -0.966 eV per atom


Entry 5:
The following is a PBE-GGA calculation of a relaxed Nd4Dy2N crystal, from Alexandria via LeMat-Bulk.

abc: 5.0075 5.0075 9.5180
angles: 74.75 74.75 90.00
With the nearest neighbours (Å) after each atom.
Element x y z (fractional)
Nd (0.0000, 0.5000, 0.0000)  2 N 2.50
Nd (0.8639, 0.8639, 0.2722)  1 N 2.41
Nd (0.5000, 0.0000, 0.0000)  2 N 2.50
Nd (0.1361, 0.1361, 0.7278)  1 N 2.41
Dy (0.3360, 0.3360, 0.3280)  9 Nd 3.53-3.83
Dy (0.6640, 0.6640, 0.6720)  9 Nd 3.53-3.83
N (0.0000, 0.0000, 0.0000)  6 Nd 2.41-2.50

Summary:
Density   6.9 g/cm³
E_form (uncorrected)   -175 meV/atom


Entry 6:
The following is a PBE-GGA calculation of a relaxed Co2AgPd2 crystal, from Alexandria via LeMat-Bulk.

abc: 3.3102 3.3102 7.3849
angles: 77.05 77.05 90.00
With the nearest neighbours (Å) after each atom.
Element x y z (fractional)
Co (0.7500, 0.2500, 0.5000)  4 Co 2.34, 4 Pd 2.58
Co (0.2500, 0.7500, 0.5000)  4 Co 2.34, 4 Pd 2.58
Pd (0.3909, 0.3909, 0.2182)  4 Co 2.58, 4 Ag 2.80
Pd (0.6091, 0.6091, 0.7818)  4 Co 2.58, 4 Ag 2.80
Ag (0.0000, 0.0000, 0.0000)  8 Pd 2.80

Summary:
Excess energy over the best structure of this formula in the dataset   115 meV per atom
Density   9.5 g/cm³
Energy relative to the elements   0.293 eV per atom


Entry 7:
The following is a PBE-GGA calculation of a relaxed HgIrO3 crystal, from Alexandria via LeMat-Bulk.

abc: 3.9384 3.9384 3.9384
angles: 90.00 90.00 90.00
With the nearest neighbours (Å) after each atom.
Element x y z (fractional)
O (0.0000, 0.5000, 0.0000)  2 Ir 1.97
O (0.0000, 0.0000, 0.5000)  2 Ir 1.97
O (0.5000, 0.0000, 0.0000)  2 Ir 1.97
Ir (0.0000, 0.0000, 0.0000)  6 O 1.97
Hg (0.5000, 0.5000, 0.5000)  12 O 2.78

Summary:
Density   12.0 g/cm³
E_form (uncorrected)   -177 meV/atom


Entry 8:
The following is a PBE-GGA calculation of a relaxed AlSiAu crystal, from Alexandria via LeMat-Bulk.

abc: 4.3207 4.3203 7.3882
angles: 90.00 90.00 120.00
With the nearest neighbours (Å) after each atom.
Element x y z (fractional)
Si (0.6995, 0.2706, 0.1906)  1 Al 2.46, 3 Au 2.54
Si (0.3656, 0.6023, 0.6906)  1 Al 2.46, 3 Au 2.54
Au (0.0322, 0.9356, 0.7557)  3 Si 2.54, 3 Al 2.61
Au (0.0329, 0.9373, 0.2557)  3 Si 2.54, 3 Al 2.61
Al (0.6989, 0.2689, 0.8576)  1 Si 2.46, 3 Au 2.61
Al (0.3662, 0.6040, 0.3576)  1 Si 2.46, 3 Au 2.61

Summary:
Density   7.0 g/cm³
E_form (uncorrected)   -138 meV/atom